KMnP2O (PBE with a Hubbard U, optimized geometry); crystal system = tetragonal; D(E_F) = 3.8 states/eV/f.u.; energy above the lowest structure with this stoichiometry = 0 meV/atom; calculated total energy = -4.3834 eV/atom
1.0
-2.589 4.178 0.861
-0.632 -1.371 4.756
3.058 1.710 0.899
O P K Mn
1 2 1 1
Direct
0.000 0.000 0.500
0.000 0.500 0.000
0.500 0.000 0.000
0.500 0.500 0.500
0.000 0.000 0.000